Below is a relaxed YTm2Si2Rh5 crystal, with properties calculated at the GGA-PBE level. Values from VASP.

Computed properties:
total DFT energy (no corrections): -7.3168 eV per atom
space group: P4/mbm (127)
raw formation energy: -1.016 eV/atom

Quantum ESPRESSO input file:
```
&SYSTEM
  ibrav = 0, nat = 20, ntyp = 4
/
ATOMIC_SPECIES
Y 88.91 Y.upf
Tm 168.93 Tm.upf
Si 28.09 Si.upf
Rh 102.91 Rh.upf
ATOMIC_POSITIONS crystal
Y 0.000 0.000 0.000
Y 0.500 0.500 0.000
Tm 0.173 0.327 0.000
Tm 0.327 0.827 0.000
Tm 0.673 0.173 0.000
Tm 0.827 0.673 0.000
Si 0.123 0.623 0.000
Si 0.377 0.123 0.000
Si 0.623 0.877 0.000
Si 0.877 0.377 0.000
Rh 0.000 0.500 0.500
Rh 0.071 0.778 0.500
Rh 0.222 0.071 0.500
Rh 0.278 0.571 0.500
Rh 0.429 0.278 0.500
Rh 0.500 0.000 0.500
Rh 0.571 0.722 0.500
Rh 0.722 0.429 0.500
Rh 0.778 0.929 0.500
Rh 0.929 0.222 0.500
CELL_PARAMETERS angstrom
9.914 0.000 0.000
0.000 9.914 0.000
0.000 0.000 3.534
```